# 1
Below is a relaxed Sn2AuI2 crystal, with properties calculated at the PBE level.

extended XYZ file:
```
10
Lattice="-2.5274 2.3096 6.8703 -7.2042 -1.5998 -2.1124 0.5583 -5.0088 1.8893" Properties=species:S:1:pos:R:3 pbc="T T T"
I -1.8472 -2.0707 2.7227
I -4.0551 -1.1256 5.8810
I -5.1181 -3.1734 0.7661
I -7.3260 -2.2282 3.9244
Sn -6.8334 -0.5642 0.5236
Sn -6.9150 0.8531 4.3053
Sn -2.8166 -0.1433 0.4526
Sn -2.8983 1.2740 4.2343
Au -4.8658 0.3549 2.3789
Au 0.0000 0.0000 0.0000
```

Energy relative to the elements, uncorrected (eV/f.u.): -0.53
V (Å³ per cell): 317.1
Total DFT energy (no corrections) (eV per atom): -2.982


# 2
Below is a relaxed RbBeBi crystal, with properties calculated at the PBE level.

extended XYZ file:
```
6
Lattice="8.3665 -0.3214 -3.0878 -0.8956 4.1045 0.0075 -2.8495 1.5112 6.9915" Properties=species:S:1:pos:R:3 pbc="T T T"
Rb -1.0386 4.6693 3.3581
Rb 4.1553 1.4940 2.8705
Bi 1.0095 2.9716 0.4841
Bi 4.9598 1.6794 -1.2484
Be 2.6880 1.1886 -0.2509
Be 3.2815 3.4621 -0.5124
```

V (Å³ per cell): 206.1
Total DFT energy (no corrections) (eV per atom): -2.937
ΔH_f (0 K) (kJ/mol of atoms): -8


# 3
Below is a relaxed TaPSeO2 crystal, with properties calculated at the PBE level.

extended XYZ file:
```
5
Lattice="3.8474 0.0000 0.0000 0.0000 3.8474 0.0000 0.0000 0.0000 5.5628" Properties=species:S:1:pos:R:3 pbc="T T T"
Ta 0.0000 0.0000 0.0000
P 0.0000 0.0000 2.7814
Se 1.9237 1.9237 2.7814
O 0.0000 1.9237 0.0000
O 1.9237 0.0000 0.0000
```

Energy relative to the elements, uncorrected (eV/f.u.): -6.40
V (Å³ per cell): 82.3
Total DFT energy (no corrections) (eV per atom): -7.413
Distance to the lowest polymorph of the same formula (kJ/mol of atoms): 0.0


# 4
Below is a relaxed CsNbZnRe2 crystal, with properties calculated at the PBE level.

extended XYZ file:
```
5
Lattice="-3.9445 -1.4780 2.5246 2.6888 -0.1094 4.1370 -1.1830 4.6820 0.8926" Properties=species:S:1:pos:R:3 pbc="T T T"
Re -0.5915 2.3410 0.4463
Re -1.9722 -0.7390 1.2623
Nb -1.2193 1.5473 3.7771
Zn 1.3444 -0.0547 2.0685
Cs 0.0000 0.0000 0.0000
```

V (Å³ per cell): 119.0
Total DFT energy (no corrections) (eV per atom): -3.864
ΔH_f (0 K) (kJ/mol of atoms): 343


# 5
Below is a relaxed BaSrOs2 crystal, with properties calculated at the PBE level.

extended XYZ file:
```
4
Lattice="-6.2282 -0.7881 1.8846 -1.7125 -5.4162 3.2704 4.1497 5.0733 0.0711" Properties=species:S:1:pos:R:3 pbc="T T T"
Os -7.4161 -5.7944 4.8144
Os -3.7021 0.0620 2.7065
Ba -0.5945 -1.5880 2.8478
Sr -3.9894 -3.1170 2.5899
```

V (Å³ per cell): 120.9
Total DFT energy (no corrections) (eV per atom): -6.026
Distance to the lowest polymorph of the same formula (kJ/mol of atoms): 28.7
ΔH_f (0 K) (kJ/mol of atoms): 47


# 6
Below is a relaxed K3RbSc crystal, with properties calculated at the PBE level.

extended XYZ file:
```
5
Lattice="-4.4616 3.9477 -4.0496 -2.9812 -6.0249 -2.5888 -4.8058 0.0726 5.3654" Properties=species:S:1:pos:R:3 pbc="T T T"
K -2.4029 0.0363 2.6827
K -2.2308 1.9739 -2.0248
K -1.4906 -3.0124 -1.2944
Rb 0.0000 0.0000 0.0000
Sc -6.1243 -1.0023 -0.6365
```

V (Å³ per cell): 373.8
Total DFT energy (no corrections) (eV per atom): -1.223
Distance to the lowest polymorph of the same formula (kJ/mol of atoms): 24.0
ΔH_f (0 K) (kJ/mol of atoms): 86


# 7
Below is a relaxed RhO2F crystal, with properties calculated at the PBE level.

extended XYZ file:
```
8
Lattice="6.7755 0.0000 0.0000 0.0000 6.7755 0.0000 3.3877 3.3877 2.1155" Properties=species:S:1:pos:R:3 pbc="T T T"
O 5.0816 4.1131 1.5866
O 7.5008 5.0816 0.5289
O 8.4693 2.6624 1.5866
O 6.0501 1.6939 0.5289
Rh 6.7755 3.3877 1.0578
Rh 0.0000 0.0000 0.0000
F 3.3877 3.3877 0.0000
F 3.3877 6.7755 1.0578
```

Energy relative to the elements, uncorrected (eV/f.u.): -2.07
V (Å³ per cell): 97.1
Total DFT energy (no corrections) (eV per atom): -5.301


# 8
Below is a relaxed BaAgPt3 crystal, with properties calculated at the PBE level.

extended XYZ file:
```
5
Lattice="5.4082 0.0000 0.0000 0.0000 5.4082 0.0000 0.0000 0.0000 5.4082" Properties=species:S:1:pos:R:3 pbc="T T T"
Pt 0.0000 0.0000 2.7041
Pt 0.0000 2.7041 0.0000
Pt 2.7041 0.0000 0.0000
Ag 2.7041 2.7041 2.7041
Ba 0.0000 0.0000 0.0000
```

V (Å³ per cell): 158.2
Total DFT energy (no corrections) (eV per atom): -2.925
Distance to the lowest polymorph of the same formula (kJ/mol of atoms): 123.5
ΔH_f (0 K) (kJ/mol of atoms): 160


# 9
Below is a relaxed CeTi2In crystal, with properties calculated at the PBE level.

extended XYZ file:
```
4
Lattice="3.9824 0.0000 0.0000 0.0000 4.5732 0.0000 0.0000 0.0000 4.5732" Properties=species:S:1:pos:R:3 pbc="T T T"
Ti 0.0000 0.0000 2.2866
Ti 0.0000 2.2866 0.0000
Ce 1.9912 2.2866 2.2866
In 1.9912 0.0000 0.0000
```

V (Å³ per cell): 83.3
Total DFT energy (no corrections) (eV per atom): -6.131
Distance to the lowest polymorph of the same formula (kJ/mol of atoms): 0.0
ΔH_f (0 K) (kJ/mol of atoms): -2


# 10
Below is a relaxed Cs2CrCoSe4 crystal, with properties calculated at the PBE level.

extended XYZ file:
```
16
Lattice="-4.7491 1.4388 -2.7279 -3.5937 -6.3048 -2.9463 -9.0724 -0.5895 9.6065" Properties=species:S:1:pos:R:3 pbc="T T T"
Se -9.7791 -1.3652 7.5419
Se -4.4803 -0.3084 -1.2316
Se -9.1882 -1.5923 3.3487
Se -11.9579 -3.4088 1.4410
Se -5.4146 -2.0597 2.5158
Se -15.3523 -4.4147 3.7754
Se -8.2698 -3.8502 0.5589
Se -5.2188 -4.8226 -2.2211
Cs -12.2684 -2.8319 5.1717
Cs -6.6989 -0.1257 5.7189
Cs -7.1226 0.9750 1.1597
Cs -7.5214 -1.9042 -2.6034
Cr 0.0000 0.0000 0.0000
Cr -9.8949 -2.3680 1.2842
Co -7.5203 -3.0874 2.6481
Co -2.3746 0.7194 -1.3639
```

Energy relative to the elements, uncorrected (eV/f.u.): -6.24
V (Å³ per cell): 534.3
Total DFT energy (no corrections) (eV per atom): -4.826


# 11
Below is a relaxed Dy12Er5Th crystal, with properties calculated at the PBE level.

extended XYZ file:
```
18
Lattice="-0.8571 -6.0744 -0.2842 0.7156 -2.9557 -5.3348 16.3346 -4.5419 3.5277" Properties=species:S:1:pos:R:3 pbc="T T T"
Er -0.0944 -6.0202 -3.7458
Er 7.6904 -8.3182 -0.2460
Er -0.0471 -3.0100 -1.8733
Er 8.5027 -5.2538 -1.8457
Er 8.4543 -8.2638 -3.7131
Dy 5.4917 -3.8486 -0.6662
Dy 3.1858 -5.3869 -4.8287
Dy 13.0073 -8.1850 2.7373
Dy 5.4443 -6.8586 -2.5386
Dy 2.4176 -5.4603 -1.3566
Dy 10.7865 -3.7022 2.3184
Dy 13.7755 -8.1117 -0.7348
Dy 10.7488 -6.7134 0.4471
Dy 10.7015 -9.7234 -1.4253
Dy 4.6911 -6.9141 0.9250
Dy 2.3754 -8.4700 -3.2522
Dy 13.8177 -5.1020 1.1608
Th 0.0000 0.0000 0.0000
```

V (Å³ per cell): 561.6
Total DFT energy (no corrections) (eV per atom): -4.738
ΔH_f (0 K) (kJ/mol of atoms): 1


# 12
Below is a relaxed TlSi3P crystal, with properties calculated at the PBE level.

extended XYZ file:
```
5
Lattice="-2.5346 -1.8308 -3.4799 3.9162 -0.8035 -2.4297 0.3532 -4.2294 1.9679" Properties=species:S:1:pos:R:3 pbc="T T T"
Si 1.9581 -0.4017 -1.2148
Si -1.2673 -0.9154 -1.7399
Si 0.1766 -2.1147 0.9840
P 0.0000 0.0000 0.0000
Tl 0.8674 -3.4319 -1.9708
```

Energy relative to the elements, uncorrected (eV/f.u.): 3.70
V (Å³ per cell): 102.4
Total DFT energy (no corrections) (eV per atom): -4.069
Distance to the lowest polymorph of the same formula (kJ/mol of atoms): 0.0


# 13
Below is a relaxed DyMnI crystal, with properties calculated at the PBE level.

extended XYZ file:
```
6
Lattice="3.8520 -0.0188 -0.5344 -1.9508 3.3642 -0.0299 -0.1423 -0.0057 12.8896" Properties=species:S:1:pos:R:3 pbc="T T T"
Mn 0.8797 2.7937 6.1254
Mn 0.8792 0.5460 6.1999
I 0.2900 2.4138 1.8861
I 1.4690 0.9258 10.4392
Dy -0.7641 1.8612 8.4600
Dy 2.5231 1.4785 3.8653
```

Energy relative to the elements, uncorrected (eV/f.u.): -1.95
V (Å³ per cell): 166.3
Total DFT energy (no corrections) (eV per atom): -5.756